(1)
A plane-wave DFT calculation with GGA-PBE was carried out for crystalline TlCdP2W at its relaxed geometry.

## Properties
space-group type: No. 123
final energy: -3.399 eV per atom
V: 138.4 Å³ per cell
total magnetization: 3.030 μB per formula unit

Cell lengths 5.067, 5.392, 5.067 Å; angles 90.00, 90.00, 90.00 degrees
Fractional positions:
Tl1 0.000 0.000 0.000
P1 0.500 0.000 0.000
P2 0.000 0.000 0.500
Cd1 0.500 0.500 0.500
W1 0.000 0.500 0.000


(2)
A plane-wave DFT calculation with GGA-PBE was carried out for crystalline Tm3CdP at its relaxed geometry.

## Properties
space-group type: No. 221
final energy: -4.477 eV per atom
V: 139.7 Å³ per cell
total magnetization: 0.000 μB per formula unit

Cell lengths 5.189, 5.189, 5.189 Å; angles 90.00, 90.00, 90.00 degrees
Fractional positions:
P1 0.000 0.000 0.000
Tm1 0.000 0.500 0.000
Tm2 0.500 0.000 0.000
Tm3 0.000 0.000 0.500
Cd1 0.500 0.500 0.500


(3)
A plane-wave DFT calculation with GGA-PBE was carried out for crystalline VCd2P at its relaxed geometry.

## Properties
space-group type: No. 122
final energy: -3.786 eV per atom
V: 173.4 Å³ per cell
total magnetization: 2.517 μB per formula unit

Cell lengths 8.508, 8.508, 6.475 Å; angles 48.93, 48.93, 90.00 degrees
Fractional positions:
Cd1 0.375 0.453 0.750
Cd2 0.203 0.625 0.250
Cd3 0.875 0.797 0.750
Cd4 0.547 0.125 0.250
P1 0.250 0.750 0.500
P2 0.500 0.500 0.000
V1 0.750 0.250 0.500
V2 0.000 0.000 0.000